{"formula": "NdYN", "functional": "GGA-PBE", "state": "relaxed", "cell": [[6.4647, 0.0000, 0.0000], [0.0000, 6.4791, -1.8978], [0.0000, -4.7008, 4.8459]], "species": ["Nd", "Nd", "Y", "Y", "N", "N"], "fractional_positions": [[0.7500, 0.5290, 0.9712], [0.2500, 0.0288, 0.4710], [0.2500, 0.2762, 0.2237], [0.7500, 0.7763, 0.7238], [0.2500, 0.6615, 0.8384], [0.7500, 0.1616, 0.3385]], "n_ef_per_ev_atom": 0.962, "vol_a3_per_cell": 145, "e_tot_ev_per_atom": -7.104, "sg": "Fmm2 (42)", "raw_formation_energy_ev_per_atom": -0.585, "magmom_total_mub_per_cell": 0.00}



{"formula": "NdZn3IrRh", "functional": "GGA-PBE", "state": "relaxed", "cell": [[-1.0863, 4.9463, -2.1056], [-3.1780, -2.7295, -4.7724], [-3.7321, 1.6380, 5.7733]], "species": ["Nd", "Nd", "Zn", "Zn", "Zn", "Zn", "Zn", "Zn", "Ir", "Ir", "Rh", "Rh"], "fractional_positions": [[0.7500, 0.2744, 0.5488], [0.2500, 0.7256, 0.4512], [0.2500, 0.1452, 0.2904], [0.0000, 0.3017, 0.0000], [0.5000, 0.6983, 0.0000], [0.5000, 0.3017, 0.0000], [0.0000, 0.6983, 0.0000], [0.7500, 0.8548, 0.7096], [0.2500, 0.3533, 0.7066], [0.7500, 0.6467, 0.2934], [0.2500, 0.9353, 0.8706], [0.7500, 0.0647, 0.1294]], "n_ef_per_ev_atom": 0.327, "vol_a3_per_cell": 220, "e_tot_ev_per_atom": -4.479, "formation_enthalpy_0k_mev_per_atom": -345, "sg": "Cmcm (63)", "magmom_total_mub_per_cell": 0.00}



{"formula": "BaNiS", "functional": "GGA-PBE", "state": "relaxed", "cell": [[5.3471, 0.1675, 0.0011], [1.4716, 5.1554, -0.0010], [-0.0003, -0.0006, 5.7070]], "species": ["Ni", "Ni", "S", "S", "Ba", "Ba"], "fractional_positions": [[0.1714, 0.6462, 0.6680], [0.1713, 0.6463, 0.1676], [0.9879, 0.4601, 0.4177], [0.3567, 0.8310, 0.9177], [0.8392, 0.3133, 0.9177], [0.5054, 0.9774, 0.4177]], "n_ef_per_ev_atom": 0.142, "vol_a3_per_cell": 156, "e_tot_ev_per_atom": -4.945, "sg": "Pm (6)", "raw_formation_energy_ev_per_atom": -1.001, "magmom_total_mub_per_cell": 0.00}



{"formula": "La4SmAg5", "functional": "GGA-PBE", "state": "relaxed", "cell": [[3.7685, 0.0000, 0.0000], [0.0000, 3.7685, 0.0000], [0.0000, 0.0000, 19.3426]], "species": ["La", "La", "La", "La", "Sm", "Ag", "Ag", "Ag", "Ag", "Ag"], "fractional_positions": [[0.0000, 0.0000, 0.1964], [0.0000, 0.0000, 0.3989], [0.0000, 0.0000, 0.6011], [0.0000, 0.0000, 0.8036], [0.0000, 0.0000, 0.0000], [0.5000, 0.5000, 0.0917], [0.5000, 0.5000, 0.2978], [0.5000, 0.5000, 0.5000], [0.5000, 0.5000, 0.7022], [0.5000, 0.5000, 0.9083]], "n_ef_per_ev_atom": 0.888, "vol_a3_per_cell": 275, "e_tot_ev_per_atom": -4.130, "formation_enthalpy_0k_mev_per_atom": -261, "sg": "P4/mmm (123)", "magmom_total_mub_per_cell": 0.00}



{"formula": "AlIn2PAu", "functional": "GGA-PBE", "state": "relaxed", "cell": [[5.3148, 0.0000, 0.0000], [0.0000, 4.6976, 0.0000], [0.0000, 0.0000, 5.3148]], "species": ["P", "Au", "Al", "In", "In"], "fractional_positions": [[0.0000, 0.0000, 0.0000], [0.0000, 0.5000, 0.0000], [0.5000, 0.5000, 0.5000], [0.0000, 0.0000, 0.5000], [0.5000, 0.0000, 0.0000]], "n_ef_per_ev_atom": 0.549, "vol_a3_per_cell": 133, "e_tot_ev_per_atom": -3.148, "formation_enthalpy_0k_mev_per_atom": 433, "sg": "P4/mmm (123)", "magmom_total_mub_per_cell": 0.00}



{"formula": "FeAuC3", "functional": "GGA-PBE", "state": "relaxed", "cell": [[-3.9493, -0.5510, -0.6441], [0.8476, -2.5376, -3.0262], [0.0081, -3.0940, 2.5967]], "species": ["C", "C", "C", "Au", "Fe"], "fractional_positions": [[0.0000, 0.5000, 0.0000], [0.0000, 0.0000, 0.5000], [0.5000, 0.0000, 0.0000], [0.0000, 0.0000, 0.0000], [0.5000, 0.5000, 0.5000]], "n_ef_per_ev_atom": 1.054, "vol_a3_per_cell": 66, "e_tot_ev_per_atom": -4.412, "formation_enthalpy_0k_mev_per_atom": 3470, "sg": "Pm-3m (221)", "magmom_total_mub_per_cell": 0.00}